1.
Crystalline KCd6Hg at its relaxed geometry, computed with PBE-GGA.

The value obtained for the formation enthalpy at 0 K is -0.01 eV/atom. The value obtained for the calculated total energy is -0.868 eV per atom.

Cell lengths 4.9477, 4.9477, 31.5138 Å; angles 90.00, 90.00, 120.00 degrees
With the nearest neighbours (Å) after each atom.
Space group R-3m (No. 166, hexagonal axes)
Inequivalent atoms, fractional coordinates:
K: 0.0000 0.0000 0.0000 (multiplicity 3)  14 Cd 3.64-4.05
Cd: 0.0000 0.0000 0.1286 (multiplicity 6)  3 Hg 3.10, 6 Cd 3.19-3.37
Cd: 0.0000 0.0000 0.2497 (multiplicity 6)  6 Cd 2.88-3.19
Cd: 0.0000 0.0000 0.4051 (multiplicity 6)  3 Cd 2.88, 1 Hg 2.99
Hg: 0.0000 0.0000 0.5000 (multiplicity 3)  8 Cd 2.99-3.10

***

2.
Crystalline K2Cd2Hg5 at its relaxed geometry, computed with PBE-GGA.

The value obtained for the formation enthalpy at 0 K is -0.13 eV/atom. The value obtained for the calculated total energy is -0.749 eV per atom.

Cell lengths 5.0333, 5.0333, 11.0822 Å; angles 90.00, 90.00, 90.00 degrees
With the nearest neighbours (Å) after each atom.
Space group P4/mmm (No. 123)
Inequivalent atoms, fractional coordinates:
K: 0.0000 0.0000 0.0000 (multiplicity 1)  8 Cd 3.84, 8 Hg 3.97
K: 0.0000 0.0000 0.5000 (multiplicity 1)  12 Hg 3.52-3.56
Cd: 0.5000 0.5000 0.1297 (multiplicity 2)  1 Cd 2.87, 4 Hg 3.00
Hg: 0.0000 0.5000 0.2776 (multiplicity 4)  2 Cd 3.00
Hg: 0.5000 0.5000 0.5000 (multiplicity 1)  8 Hg 3.52, 4 K 3.56

***

3.
Crystalline K2Cd2Hg7 at its relaxed geometry, computed with PBE-GGA.

The value obtained for the formation enthalpy at 0 K is -0.13 eV/atom. The value obtained for the calculated total energy is -0.689 eV per atom.

Cell lengths 9.6821, 11.5409, 6.0352 Å; angles 90.00, 103.37, 90.00 degrees
With the nearest neighbours (Å) after each atom.
Space group C2/m (No. 12)
Inequivalent atoms, fractional coordinates:
K: 0.2170 0.0000 0.1176 (multiplicity 4)  9 Hg 3.46-3.83, 2 Cd 3.87
Cd: 0.0000 0.2840 0.0000 (multiplicity 4)  6 Hg 3.00-3.24
Hg: 0.0000 0.0000 0.5000 (multiplicity 2)  4 Hg 3.05
Hg: 0.0852 0.5000 0.3171 (multiplicity 4)  3 Hg 3.05-3.33, 2 Cd 3.14
Hg: 0.1807 0.2110 0.6826 (multiplicity 8)  3 Hg 2.97-3.33, 2 Cd 3.00-3.24

***

4.
Crystalline K3CdHg8 at its relaxed geometry, computed with PBE-GGA.

The value obtained for the formation enthalpy at 0 K is -0.17 eV/atom. The value obtained for the calculated total energy is -0.719 eV per atom.

Cell lengths 6.3187, 6.3187, 32.0226 Å; angles 90.00, 90.00, 120.00 degrees
With the nearest neighbours (Å) after each atom.
Space group R3m (No. 160, hexagonal axes)
Inequivalent atoms, fractional coordinates:
K: 0.0000 0.0000 0.0000 (multiplicity 3)  12 Hg 3.71-3.83, 4 K 3.99-4.12
K: 0.0000 0.0000 0.1287 (multiplicity 3)  12 Hg 3.67-3.82, 3 Cd 3.80
K: 0.0000 0.0000 0.6166 (multiplicity 3)  12 Hg 3.62-4.01, 1 Cd 3.90, 3 K 3.99
Cd: 0.0000 0.0000 0.4949 (multiplicity 3)  12 Hg 3.69-3.81, 4 K 3.80-3.90
Hg: 0.0000 0.0000 0.3120 (multiplicity 3)  6 Hg 3.22-3.25
Hg: 0.0000 0.0000 0.8118 (multiplicity 3)  6 Hg 3.22-3.23
Hg: 0.0008 0.5004 0.5613 (multiplicity 9)  6 Hg 3.15-3.25
Hg: 0.1673 0.3347 0.3949 (multiplicity 9)  6 Hg 3.15-3.23